Material: NbNi2BF
Method: DFT, PBE+U
State: optimized geometry

For the total energy, the calculation gives -3.76 eV/atom.

The space group is P4/mmm (No. 123) and the conventional cell measures 3.624, 3.624 and 4.678 Å, with angles of 90.00, 90.00 and 90.00 degrees. The asymmetric unit holds Nb at (0.000, 0.000, 0.000), Ni at (0.000, 0.500, 0.500), B at (0.500, 0.500, 0.000) and F at (0.000, 0.000, 0.500).